Record 1
The following is a DFT calculation (PBE) of a relaxed structure of Li3TaMn2S6.

Cell lengths 6.2785, 6.2785, 6.3776 Å; angles 99.50, 99.50, 119.95 degrees
Fractional positions:
Li1 0.0000 0.0000 0.0000
Li2 0.3351 0.6649 0.0000
Li3 0.6649 0.3351 0.0000
Ta1 0.5000 0.5000 0.5000
Mn1 0.1675 0.8325 0.5000
Mn2 0.8325 0.1675 0.5000
S1 0.0983 0.4215 0.2627
S2 0.2543 0.2543 0.7336
S3 0.4215 0.0983 0.2627
S4 0.5785 0.9017 0.7373
S5 0.7457 0.7457 0.2664
S6 0.9017 0.5785 0.7373

Computed properties:
For the density, the calculation gives 4.07 g cm⁻³. The uncorrected formation energy is -961 meV per atom. The magnetization comes out at 9.87 Bohr magnetons per cell.

---

Record 2
The following is a DFT calculation (PBE) of a relaxed structure of ZnSiCl2.

Cell lengths 5.0372, 3.9933, 5.8560 Å; angles 90.00, 109.31, 90.00 degrees
Fractional positions:
Zn1 0.0000 0.0000 0.0000
Si1 0.2948 0.5000 0.0038
Cl1 0.4140 0.5000 0.6920
Cl2 0.6996 0.0000 0.2288

Computed properties:
For the density, the calculation gives 2.46 g cm⁻³. The uncorrected formation energy is -320 meV per atom. The magnetization comes out at 0.00 Bohr magnetons per cell.

---

Record 3
The following is a DFT calculation (PBE) of a relaxed structure of ThSnPd14.

Cell lengths 5.8160, 5.8160, 7.8108 Å; angles 90.00, 90.00, 90.00 degrees
Fractional positions:
Th1 0.0000 0.0000 0.0000
Sn1 0.5000 0.5000 0.0000
Pd1 0.0000 0.0000 0.5000
Pd2 0.0000 0.5000 0.0000
Pd3 0.0000 0.5000 0.5000
Pd4 0.2531 0.2531 0.2558
Pd5 0.2531 0.2531 0.7442
Pd6 0.2531 0.7469 0.2558
Pd7 0.2531 0.7469 0.7442
Pd8 0.5000 0.0000 0.0000
Pd9 0.5000 0.0000 0.5000
Pd10 0.5000 0.5000 0.5000
Pd11 0.7469 0.2531 0.2558
Pd12 0.7469 0.2531 0.7442
Pd13 0.7469 0.7469 0.2558
Pd14 0.7469 0.7469 0.7442

Computed properties:
For the density, the calculation gives 11.57 g cm⁻³. The value obtained for the formation enthalpy at 0 K is -0.36 eV per atom. The magnetization comes out at 0.00 Bohr magnetons per cell.

---

Record 4
The following is a DFT calculation (PBE) of a relaxed structure of Ti3CrHg.

Cell lengths 4.9217, 4.9217, 4.9217 Å; angles 90.00, 90.00, 90.00 degrees
Fractional positions:
Ti1 0.0000 0.0000 0.5000
Ti2 0.0000 0.5000 0.0000
Ti3 0.5000 0.0000 0.0000
Cr1 0.5000 0.5000 0.5000
Hg1 0.0000 0.0000 0.0000

Computed properties:
For the density, the calculation gives 5.52 g cm⁻³. The value obtained for the formation enthalpy at 0 K is 1.76 eV per atom. The magnetization comes out at 2.02 Bohr magnetons per cell.

---

Record 5
The following is a DFT calculation (PBE) of a relaxed structure of La4YTl3.

Cell lengths 11.6216, 7.1054, 6.1084 Å; angles 90.00, 90.00, 90.00 degrees
Fractional positions:
La1 0.0000 0.2446 0.0000
La2 0.0000 0.7554 0.0000
La3 0.2500 0.2364 0.3710
La4 0.2500 0.7636 0.3710
La5 0.5000 0.2446 0.0000
La6 0.5000 0.7554 0.0000
La7 0.7500 0.2364 0.6290
La8 0.7500 0.7636 0.6290
Y1 0.0000 0.5000 0.5000
Y2 0.5000 0.5000 0.5000
Tl1 0.0000 0.0000 0.5000
Tl2 0.2500 0.0000 0.8636
Tl3 0.2500 0.5000 0.8482
Tl4 0.5000 0.0000 0.5000
Tl5 0.7500 0.0000 0.1364
Tl6 0.7500 0.5000 0.1518

Computed properties:
For the density, the calculation gives 8.28 g cm⁻³. The value obtained for the formation enthalpy at 0 K is -0.26 eV per atom. The magnetization comes out at 0.00 Bohr magnetons per cell.

---

Record 6
The following is a DFT calculation (PBE) of a relaxed structure of Sm2SnRh.

Cell lengths 8.7088, 8.7088, 8.7088 Å; angles 25.81, 25.81, 25.81 degrees
Fractional positions:
Sm1 0.2348 0.2348 0.2348
Sm2 0.7652 0.7652 0.7652
Sn1 0.0000 0.0000 0.0000
Rh1 0.5000 0.5000 0.5000

Computed properties:
For the density, the calculation gives 7.87 g cm⁻³. The value obtained for the formation enthalpy at 0 K is -0.56 eV per atom. The magnetization comes out at 0.00 Bohr magnetons per cell.